First-principles (PBE) data for a geometry-optimized LiAcTlCu structure, as listed in the Alexandria database.

POSCAR file:
```
LiAcTlCu
1.0
0.0000 3.5970 3.5970
3.5970 0.0000 3.5970
3.5970 3.5970 0.0000
Li Ac Tl Cu
1 1 1 1
direct
0.0000 0.0000 0.0000
0.7500 0.7500 0.7500
0.2500 0.2500 0.2500
0.5000 0.5000 0.5000
```

- DOS at the Fermi energy: 1.524 states/eV per cell
- DFT formation energy: -0.16 eV per atom
- Calculated density: 9.0 g cm⁻³
- Crystal system: cubic